[1]
# Rb4Cd5As6 (PBE-GGA, relaxed)
# DOS at the Fermi energy ... 6.452 states/eV/f.u.
# E_form ... -0.281 eV per atom
# Raw total energy ... -2.70 eV per atom
data_Rb4Cd5As6
_cell_length_a 4.623
_cell_length_b 21.029
_cell_length_c 19.152
_cell_angle_alpha 90.00
_cell_angle_beta 90.00
_cell_angle_gamma 90.00
_symmetry_space_group_name_H-M 'C m c m'
_symmetry_Int_Tables_number 63
_symmetry_space_group_name_Hall '-C 2c 2'
loop_
_atom_site_label
_atom_site_fract_x
_atom_site_fract_y
_atom_site_fract_z
_atom_site_occupancy
Rb1 0.000 0.004 0.124 1
Rb2 0.000 0.184 0.069 1
Cd1 0.000 0.126 0.750 1
Cd2 0.000 0.271 0.750 1
Cd3 0.000 0.370 0.122 1
Cd4 0.000 0.423 0.750 1
As1 0.000 0.144 0.250 1
As2 0.000 0.199 0.627 1
As3 0.000 0.444 0.502 1
As4 0.000 0.448 0.250 1



[2]
# AcPm2Tl (PBE-GGA, relaxed)
# DOS at the Fermi energy ... 4.871 states/eV/f.u.
# E_form ... 0.126 eV per atom
# Raw total energy ... -3.87 eV per atom
# Energy above the lowest structure with this stoichiometry ... 301 meV per atom
data_AcPm2Tl
_cell_length_a 6.137
_cell_length_b 3.632
_cell_length_c 13.266
_cell_angle_alpha 90.00
_cell_angle_beta 90.10
_cell_angle_gamma 90.00
_symmetry_space_group_name_H-M 'P 1 21/m 1'
_symmetry_Int_Tables_number 11
loop_
_symmetry_equiv_pos_as_xyz
'x,y,z'
'-x,-y,-z'
'-x,y+1/2,-z'
'x,-y+1/2,z'
loop_
_atom_site_label
_atom_site_fract_x
_atom_site_fract_y
_atom_site_fract_z
_atom_site_occupancy
Ac1 0.249 0.250 0.169 1
Pm1 0.250 0.250 0.452 1
Pm2 0.250 0.750 0.690 1
Tl1 0.251 0.750 0.943 1



[3]
# Y6SnSe3S2 (PBE-GGA, relaxed)
# DOS at the Fermi energy ... 4.295 states/eV/f.u.
# Raw formation energy ... -1664 meV/atom
# Raw total energy ... -6.79 eV per atom
data_Y6SnSe3S2
_cell_length_a 17.917
_cell_length_b 4.068
_cell_length_c 8.247
_cell_angle_alpha 90.00
_cell_angle_beta 103.80
_cell_angle_gamma 90.00
_symmetry_space_group_name_H-M 'C 1 2/m 1'
_symmetry_Int_Tables_number 12
loop_
_symmetry_equiv_pos_as_xyz
'x,y,z'
'-x,-y,-z'
'-x,y,-z'
'x,-y,z'
'x+1/2,y+1/2,z'
'-x+1/2,-y+1/2,-z'
'-x+1/2,y+1/2,-z'
'x+1/2,-y+1/2,z'
loop_
_atom_site_label
_atom_site_fract_x
_atom_site_fract_y
_atom_site_fract_z
_atom_site_occupancy
Y1 0.007 0.000 0.261 1
Y2 0.171 0.500 0.105 1
Y3 0.173 0.500 0.573 1
Sn1 0.000 0.500 0.000 1
Se1 0.000 0.500 0.500 1
Se2 0.164 0.000 0.832 1
S1 0.168 0.000 0.337 1



[4]
# KLa2Mg (PBE-GGA, relaxed)
# DOS at the Fermi energy ... 5.080 states/eV/f.u.
# E_form ... 0.292 eV per atom
# Raw total energy ... -2.84 eV per atom
data_KLa2Mg
_cell_length_a 3.860
_cell_length_b 6.063
_cell_length_c 6.371
_cell_angle_alpha 90.00
_cell_angle_beta 90.00
_cell_angle_gamma 90.00
_symmetry_space_group_name_H-M 'P m m m'
_symmetry_Int_Tables_number 47
loop_
_symmetry_equiv_pos_as_xyz
'x,y,z'
'-x,-y,-z'
'-x,-y,z'
'x,y,-z'
'x,-y,-z'
'-x,y,z'
'-x,y,-z'
'x,-y,z'
loop_
_atom_site_label
_atom_site_fract_x
_atom_site_fract_y
_atom_site_fract_z
_atom_site_occupancy
K1 0.000 0.000 0.000 1
La1 0.000 0.500 0.500 1
La2 0.500 0.000 0.500 1
Mg1 0.500 0.500 0.000 1